# 1
VASP calculation (PBE) on Ca2CrPd after structural relaxation. Values from VASP.

- calculated total energy (eV/atom) = -4.465
- energy of formation (eV/atom) = 0.240
- symmetry = No. 122

```
&SYSTEM
  ibrav = 0, nat = 8, ntyp = 3
/
ATOMIC_SPECIES
Ca 40.08 Ca.upf
Cr 52.00 Cr.upf
Pd 106.42 Pd.upf
ATOMIC_POSITIONS crystal
Ca 0.085 0.625 0.960
Ca 0.375 0.335 0.460
Ca 0.665 0.125 0.040
Ca 0.875 0.915 0.540
Cr 0.250 0.750 0.500
Cr 0.500 0.500 0.000
Pd 0.000 0.000 0.000
Pd 0.750 0.250 0.500
CELL_PARAMETERS angstrom
-4.075 4.075 3.139
4.075 -4.075 3.139
4.075 4.075 -3.139
```

=====

# 2
VASP calculation (PBE) on Ca2CrPd after structural relaxation. Values from VASP.

- calculated total energy (eV/atom) = -4.676
- energy of formation (eV/atom) = 0.029
- symmetry = No. 225

```
&SYSTEM
  ibrav = 0, nat = 4, ntyp = 3
/
ATOMIC_SPECIES
Ca 40.08 Ca.upf
Cr 52.00 Cr.upf
Pd 106.42 Pd.upf
ATOMIC_POSITIONS crystal
Ca 0.250 0.250 0.250
Ca 0.750 0.750 0.750
Cr 0.000 0.000 0.000
Pd 0.500 0.500 0.500
CELL_PARAMETERS angstrom
0.000 3.642 3.642
3.642 0.000 3.642
3.642 3.642 0.000
```

=====

# 3
VASP calculation (PBE) on CaCr2Pd after structural relaxation. Values from VASP.

- calculated total energy (eV/atom) = -5.634
- energy of formation (eV/atom) = 0.977
- symmetry = No. 225

```
&SYSTEM
  ibrav = 0, nat = 4, ntyp = 3
/
ATOMIC_SPECIES
Ca 40.08 Ca.upf
Cr 52.00 Cr.upf
Pd 106.42 Pd.upf
ATOMIC_POSITIONS crystal
Ca 0.000 0.000 0.000
Cr 0.250 0.250 0.250
Cr 0.750 0.750 0.750
Pd 0.500 0.500 0.500
CELL_PARAMETERS angstrom
0.000 3.156 3.156
3.156 0.000 3.156
3.156 3.156 0.000
```

=====

# 4
VASP calculation (PBE) on CaCrPd4 after structural relaxation. Values from VASP.

- calculated total energy (eV/atom) = -5.621
- energy of formation (eV/atom) = -0.222
- symmetry = No. 216

```
&SYSTEM
  ibrav = 0, nat = 6, ntyp = 3
/
ATOMIC_SPECIES
Ca 40.08 Ca.upf
Cr 52.00 Cr.upf
Pd 106.42 Pd.upf
ATOMIC_POSITIONS crystal
Ca 0.000 0.000 0.000
Cr 0.750 0.750 0.750
Pd 0.375 0.375 0.375
Pd 0.375 0.375 0.874
Pd 0.375 0.874 0.375
Pd 0.874 0.375 0.375
CELL_PARAMETERS angstrom
0.000 3.783 3.783
3.783 0.000 3.783
3.783 3.783 0.000
```

=====

# 5
VASP calculation (PBE) on CaScCr2Pd after structural relaxation. Values from VASP.

- calculated total energy (eV/atom) = -5.191
- energy of formation (eV/atom) = 1.364
- symmetry = No. 123

```
&SYSTEM
  ibrav = 0, nat = 5, ntyp = 4
/
ATOMIC_SPECIES
Ca 40.08 Ca.upf
Sc 44.96 Sc.upf
Cr 52.00 Cr.upf
Pd 106.42 Pd.upf
ATOMIC_POSITIONS crystal
Ca 0.000 0.000 0.000
Sc 0.000 0.000 0.500
Cr 0.000 0.500 0.500
Cr 0.500 0.000 0.500
Pd 0.500 0.500 0.000
CELL_PARAMETERS angstrom
4.547 0.000 0.000
0.000 4.547 0.000
0.000 0.000 5.370
```

=====

# 6
VASP calculation (PBE) on Ca2CrTePd after structural relaxation. Values from VASP.

- E_form (uncorrected) (eV per atom) = 0.127
- calculated total energy (eV/atom) = -4.266
- symmetry = No. 123

```
&SYSTEM
  ibrav = 0, nat = 5, ntyp = 4
/
ATOMIC_SPECIES
Ca 40.08 Ca.upf
Cr 52.00 Cr.upf
Te 127.60 Te.upf
Pd 106.42 Pd.upf
ATOMIC_POSITIONS crystal
Ca 0.000 0.500 0.000
Ca 0.500 0.000 0.000
Cr 0.000 0.000 0.500
Te 0.500 0.500 0.000
Pd 0.500 0.500 0.500
CELL_PARAMETERS angstrom
5.854 0.000 0.000
0.000 5.854 0.000
0.000 0.000 5.021
```